SiPtIN2: optimized geometry, PBE-GGA.

energy relative to the lowest polymorph listed for this composition: 0.544 eV per atom
total moment: 0.00 μB/cell
density of states at the Fermi level: 0.790 states/eV per atom
formation energy (no corrections): 1410 meV per atom

a = 3.8368 Å, b = 3.8368 Å, c = 8.1406 Å
α = 90.00°, β = 90.00°, γ = 90.00°
Space group P4/mmm (No. 123)
One atom of each set of equivalent atoms:
Si 0.0000 0.0000 0.0000
Pt 0.5000 0.5000 0.5000
I 0.5000 0.5000 0.0000
N 0.0000 0.5000 0.5000

***

SnPtI2N: optimized geometry, PBE-GGA.

energy relative to the lowest polymorph listed for this composition: 0.727 eV per atom
total moment: 1.01 μB/cell
density of states at the Fermi level: 1.327 states/eV per atom
formation energy (no corrections): 1130 meV per atom

a = 5.9638 Å, b = 5.9638 Å, c = 3.8259 Å
α = 90.00°, β = 90.00°, γ = 90.00°
Space group P4/mmm (No. 123)
One atom of each set of equivalent atoms:
Sn 0.0000 0.0000 0.0000
Pt 0.5000 0.5000 0.5000
I 0.0000 0.5000 0.0000
N 0.0000 0.0000 0.5000

***

SnPtI2N: optimized geometry, PBE-GGA.

energy relative to the lowest polymorph listed for this composition: 0.000 eV per atom
total moment: 0.00 μB/cell
density of states at the Fermi level: 0.589 states/eV per atom
formation energy (no corrections): 403 meV per atom

a = 5.9574 Å, b = 5.9574 Å, c = 3.7417 Å
α = 90.00°, β = 90.00°, γ = 90.00°
Space group P4/mmm (No. 123)
One atom of each set of equivalent atoms:
Sn 0.0000 0.0000 0.0000
Pt 0.5000 0.5000 0.5000
I 0.0000 0.5000 0.5000
N 0.5000 0.5000 0.0000

***

Sr8Pt3I4N: optimized geometry, PBE-GGA.

total moment: 0.00 μB/cell
density of states at the Fermi level: 0.424 states/eV per atom
formation energy (no corrections): -1067 meV per atom

a = 8.7662 Å, b = 8.7662 Å, c = 24.2454 Å
α = 90.00°, β = 90.00°, γ = 120.00°
Space group R-3m (No. 166, hexagonal axes)
One atom of each set of equivalent atoms:
Sr 0.0000 0.0000 0.2342
Sr 0.0302 0.5151 0.2273
Pt 0.0000 0.5000 0.5000
I 0.0000 0.0000 0.0000
I 0.0000 0.5000 0.0000
N 0.0000 0.0000 0.5000

***

Sr8Pt3I3N: optimized geometry, PBE-GGA.

total moment: 0.00 μB/cell
density of states at the Fermi level: 0.536 states/eV per atom
formation energy (no corrections): -951 meV per atom

a = 8.7247 Å, b = 8.7247 Å, c = 24.8321 Å
α = 90.00°, β = 90.00°, γ = 120.00°
Space group R-3m (No. 166, hexagonal axes)
One atom of each set of equivalent atoms:
Sr 0.0000 0.0000 0.2331
Sr 0.0327 0.5164 0.2251
Pt 0.0000 0.5000 0.5000
I 0.0000 0.5000 0.0000
N 0.0000 0.0000 0.5000

***

TaPtI2N: optimized geometry, PBE-GGA.

energy relative to the lowest polymorph listed for this composition: 0.556 eV per atom
total moment: 2.70 μB/cell
density of states at the Fermi level: 0.509 states/eV per atom
formation energy (no corrections): 1162 meV per atom

a = 5.7242 Å, b = 5.7242 Å, c = 3.6661 Å
α = 90.00°, β = 90.00°, γ = 90.00°
Space group P4/mmm (No. 123)
One atom of each set of equivalent atoms:
Ta 0.0000 0.0000 0.0000
Pt 0.5000 0.5000 0.5000
I 0.0000 0.5000 0.5000
N 0.5000 0.5000 0.0000